# 1
# TiMoHRu2

TiMoHRu2 after structural relaxation (PBE, the Alexandria database).

Total moment: 0.0 μB/cell
Space group: P4/mmm (123)
Energy above the lowest structure with this stoichiometry: 0.030 eV/atom

POSCAR file:
```
TiMoHRu2
1.0
3.971 0.000 0.000
0.000 3.971 0.000
0.000 0.000 3.918
Ti Ru H Mo
1 2 1 1
Cartesian
1.986 1.986 1.959
1.986 0.000 0.000
0.000 1.986 0.000
0.000 0.000 0.000
0.000 0.000 1.959
```

***

# 2
# YGaSb2I

YGaSb2I after structural relaxation (PBE, the Alexandria database).

Total moment: 0.0 μB/cell
Formation energy (no corrections): 0.094 eV/atom
Space group: P4/mmm (123)
Energy above the lowest structure with this stoichiometry: 0.047 eV/atom

POSCAR file:
```
YGaSb2I
1.0
5.278 0.000 0.000
0.000 5.278 0.000
0.000 0.000 5.647
Sb I Ga Y
2 1 1 1
Cartesian
0.000 2.639 0.000
2.639 0.000 0.000
0.000 0.000 2.823
0.000 0.000 0.000
2.639 2.639 2.823
```

***

# 3
# Be5VCo4

Be5VCo4 after structural relaxation (PBE, the Alexandria database).

Total moment: 1.2 μB/cell
DFT formation energy: -0.2628 eV/atom
Space group: P4/mmm (123)

POSCAR file:
```
Be5VCo4
1.0
-2.432 -0.666 0.638
0.896 -1.287 2.075
-1.118 11.206 7.435
Co Be V
4 5 1
Cartesian
-0.236 2.371 1.573
-0.452 4.533 3.007
-0.881 8.835 5.862
-0.666 6.673 4.427
-1.327 4.627 5.074
-1.111 2.464 3.639
-1.746 8.833 7.865
-1.543 6.789 6.508
-0.907 0.420 2.283
0.000 0.000 0.000
```

***

# 4
# Ti12ZnSn3

Ti12ZnSn3 after structural relaxation (PBE, the Alexandria database).

Total moment: 0.0 μB/cell
DFT formation energy: -0.2375 eV/atom
Space group: Pmmm (47)

POSCAR file:
```
Ti12ZnSn3
1.0
-2.955 -0.913 4.167
1.080 -5.075 -0.347
8.271 1.339 6.159
Ti Sn Zn
12 3 1
Cartesian
-0.203 -2.767 0.874
3.954 -2.091 3.923
-1.673 -3.222 2.947
5.729 0.710 7.450
2.385 -0.908 1.492
2.932 -3.482 1.316
6.966 -2.828 4.320
-0.414 -0.284 2.876
1.673 0.053 4.430
6.418 -0.255 4.496
3.642 0.372 5.896
2.441 -2.559 6.056
5.268 -1.990 6.531
0.000 0.000 0.000
1.128 -2.660 3.448
4.135 0.670 3.079
```

***

# 5
# KLi2Os

KLi2Os after structural relaxation (PBE, the Alexandria database).

Total moment: 0.0 μB/cell
DFT formation energy: 0.5818 eV/atom
Space group: Pmmm (47)
Energy above the lowest structure with this stoichiometry: 0.013 eV/atom

POSCAR file:
```
KLi2Os
1.0
2.616 0.000 0.000
0.000 4.350 0.000
0.000 0.000 7.039
Li K Os
2 1 1
Cartesian
0.000 0.000 2.892
0.000 0.000 0.627
1.308 2.175 5.279
1.308 2.175 1.760
```

***

# 6
# AlHg3B

AlHg3B after structural relaxation (PBE, the Alexandria database).

Total moment: 0.0 μB/cell
DFT formation energy: 1.1370 eV/atom
Space group: Pm-3m (221)
Energy above the lowest structure with this stoichiometry: 0.471 eV/atom

POSCAR file:
```
AlHg3B
1.0
5.233 0.000 0.000
0.000 5.233 0.000
0.000 0.000 5.233
Hg B Al
3 1 1
Cartesian
2.616 0.000 0.000
0.000 0.000 2.616
0.000 2.616 0.000
2.616 2.616 2.616
0.000 0.000 0.000
```

***

# 7
# Mn3HgIr

Mn3HgIr after structural relaxation (PBE, the Alexandria database).

Total moment: 13.4 μB/cell
DFT formation energy: 0.8291 eV/atom
Space group: Pm-3m (221)
Energy above the lowest structure with this stoichiometry: 0.000 eV/atom

POSCAR file:
```
Mn3HgIr
1.0
4.873 0.000 0.000
0.000 4.873 0.000
0.000 0.000 4.873
Mn Hg Ir
3 1 1
Cartesian
0.000 0.000 2.436
2.436 0.000 0.000
0.000 2.436 0.000
2.436 2.436 2.436
0.000 0.000 0.000
```

***

# 8
# CaAlAgHg

CaAlAgHg after structural relaxation (PBE, the Alexandria database).

Total moment: 0.0 μB/cell
DFT formation energy: -0.2448 eV/atom
Space group: F-43m (216)

POSCAR file:
```
CaAlAgHg
1.0
4.946 0.000 0.000
2.473 4.283 0.000
2.473 1.428 4.038
Hg Ca Al Ag
1 1 1 1
Cartesian
7.419 4.283 3.029
4.946 2.856 2.019
0.000 0.000 0.000
2.473 1.428 1.010
```

***

# 9
# SmPuRuPt

SmPuRuPt after structural relaxation (PBE, the Alexandria database).

Total moment: 4.4 μB/cell
DFT formation energy: -0.4837 eV/atom
Space group: F-43m (216)

POSCAR file:
```
SmPuRuPt
1.0
-3.475 -3.311 -1.083
0.734 -4.759 1.015
-2.545 -2.166 3.612
Pu Ru Sm Pt
1 1 1 1
Cartesian
0.000 0.000 0.000
-1.322 -2.559 0.886
-2.644 -5.118 1.772
-3.965 -7.677 2.658
```

***

# 10
# BaCaPdAu

BaCaPdAu after structural relaxation (PBE, the Alexandria database).

Total moment: 0.0 μB/cell
DFT formation energy: -0.5834 eV/atom
Space group: F-43m (216)
Energy above the lowest structure with this stoichiometry: 0.054 eV/atom

POSCAR file:
```
BaCaPdAu
1.0
-1.724 4.419 -2.537
-4.903 0.092 -2.212
-3.881 3.016 2.186
Pd Au Ba Ca
1 1 1 1
Cartesian
0.000 0.000 0.000
-5.253 3.763 -1.281
-7.880 5.645 -1.922
-2.627 1.882 -0.641
```

***

# 11
# ErPuPtAu

ErPuPtAu after structural relaxation (PBE, the Alexandria database).

Total moment: 5.8 μB/cell
DFT formation energy: -0.8221 eV/atom
Space group: P4mm (99)
Energy above the lowest structure with this stoichiometry: 0.000 eV/atom

POSCAR file:
```
ErPuPtAu
1.0
3.489 0.000 0.000
0.000 3.489 0.000
0.000 0.000 7.325
Pt Pu Au Er
1 1 1 1
Cartesian
0.000 0.000 2.750
1.745 1.745 0.882
0.000 0.000 6.131
1.745 1.745 4.359
```

***

# 12
# ScPaSe3

ScPaSe3 after structural relaxation (PBE, the Alexandria database).

Total moment: 5.9 μB/cell
Formation energy (no corrections): -1.482 eV/atom
Space group: Pnma (62)
Energy above the lowest structure with this stoichiometry: 0.000 eV/atom

POSCAR file:
```
ScPaSe3
1.0
-0.904 2.701 -2.582
-5.055 -5.454 -3.936
-11.078 4.256 8.331
Se Pa Sc
12 4 4
Cartesian
-9.524 -3.131 -1.371
-15.003 0.122 3.951
-8.984 0.351 -0.779
-13.013 3.047 3.452
-4.024 -1.545 -1.638
-8.054 1.151 2.593
-5.756 1.373 -0.841
-7.225 -1.761 -3.605
-2.034 1.380 -2.137
-7.513 4.633 3.185
-11.281 0.129 2.654
-9.812 3.263 5.419
-10.244 3.054 2.489
-13.875 0.750 1.351
-6.793 -1.552 -0.675
-3.163 0.752 0.463
-4.559 -1.521 -4.288
-6.695 2.998 1.187
-12.478 3.023 6.101
-10.343 -1.496 0.626
```

***

# 13
# LiNi2Rh

LiNi2Rh after structural relaxation (PBE, the Alexandria database).

Total moment: 1.3 μB/cell
DFT formation energy: 0.0036 eV/atom
Space group: C2/m (12)

POSCAR file:
```
LiNi2Rh
1.0
-1.812 3.269 -2.527
-1.336 1.292 -4.111
-4.192 -1.184 0.218
Rh Ni Li
1 2 1
Cartesian
-1.835 0.844 -1.605
-3.676 1.712 -3.241
-3.142 4.538 -6.606
-5.505 2.533 -4.815
```

***

# 14
# Pb4C3

Pb4C3 after structural relaxation (PBE, the Alexandria database).

Total moment: 0.0 μB/cell
DFT formation energy: 2.1823 eV/atom
Space group: P6/mmm (191)
Energy above the lowest structure with this stoichiometry: 0.824 eV/atom

POSCAR file:
```
Pb4C3
1.0
2.336 -4.046 0.000
2.336 4.046 0.000
0.000 0.000 9.003
Pb C
4 3
Cartesian
2.336 1.349 4.502
0.000 0.000 1.562
2.336 -1.349 4.502
0.000 0.000 7.442
1.168 -2.023 0.000
2.336 0.000 0.000
1.168 2.023 0.000
```

***

# 15
# TmZrRe

TmZrRe after structural relaxation (PBE, the Alexandria database).

Total moment: 0.0 μB/cell
DFT formation energy: -0.0418 eV/atom
Space group: Fddd (70)
Energy above the lowest structure with this stoichiometry: 0.009 eV/atom

POSCAR file:
```
TmZrRe
1.0
5.256 0.000 0.000
2.628 5.076 0.000
2.628 0.000 10.031
Re Zr Tm
4 4 4
Cartesian
2.628 0.000 7.532
5.256 0.000 2.499
6.570 2.538 7.515
6.570 2.538 2.516
3.942 2.538 3.259
3.942 2.538 6.772
5.256 0.000 8.275
2.628 0.000 1.756
6.570 0.933 5.015
6.570 4.143 5.015
5.256 1.605 0.000
2.628 3.471 0.000
```

***

# 16
# NdCuTeO

NdCuTeO after structural relaxation (PBE, the Alexandria database).

Total moment: 0.0 μB/cell
Formation energy (no corrections): -1.795 eV/atom
Space group: P4/nmm (129)

POSCAR file:
```
NdCuTeO
1.0
4.123 0.000 0.000
0.000 4.123 0.000
0.000 0.000 9.430
Te Nd Cu O
2 2 2 2
Cartesian
0.000 2.062 7.737
2.062 0.000 1.693
0.000 2.062 3.558
2.062 0.000 5.872
2.062 2.062 0.000
0.000 0.000 0.000
0.000 0.000 4.715
2.062 2.062 4.715
```

***

# 17
# Tb5Dy12Y

Tb5Dy12Y after structural relaxation (PBE, the Alexandria database).

Total moment: 0.0 μB/cell
DFT formation energy: 0.0179 eV/atom
Space group: C2/m (12)

POSCAR file:
```
Tb5Dy12Y
1.0
10.644 -0.002 0.017
5.325 9.135 -1.218
-0.010 -1.242 6.019
Dy Y Tb
12 1 5
Cartesian
7.095 2.422 2.609
7.084 -1.243 6.030
8.865 5.468 2.209
3.541 2.423 2.603
1.774 -0.621 3.012
3.551 -0.001 0.006
14.182 4.843 5.224
8.868 3.046 -0.395
7.092 4.844 5.213
8.860 -0.623 3.023
1.778 3.048 -0.406
12.418 5.467 2.215
0.000 0.000 0.000
10.640 2.423 2.623
5.313 1.803 5.614
10.647 6.088 -0.797
5.317 -0.622 3.018
5.320 5.467 2.194
```

***

# 18
# NbSiNF2

NbSiNF2 after structural relaxation (PBE, the Alexandria database).

Total moment: 2.9 μB/cell
Formation energy (no corrections): -0.416 eV/atom
Space group: P4/mmm (123)
Energy above the lowest structure with this stoichiometry: 0.329 eV/atom

POSCAR file:
```
NbSiNF2
1.0
-0.057 -0.253 4.422
2.239 -3.818 -0.190
2.778 1.623 0.129
Nb F N Si
1 2 1 1
Cartesian
2.480 -1.224 2.181
1.119 -1.909 -0.095
-0.029 -0.127 2.211
1.389 0.811 0.065
0.000 0.000 0.000
```

***

# 19
# ErGaOs

ErGaOs after structural relaxation (PBE, the Alexandria database).

Total moment: 0.0 μB/cell
DFT formation energy: -0.3689 eV/atom
Space group: Pnma (62)

POSCAR file:
```
ErGaOs
1.0
4.379 0.000 0.000
0.000 4.380 0.000
0.000 0.000 12.893
Os Er Ga
4 4 4
Cartesian
1.095 3.279 3.223
1.095 3.291 9.670
3.285 1.101 9.669
3.285 1.089 3.223
1.095 1.089 5.106
3.285 3.291 7.787
3.285 3.279 1.341
1.095 1.101 11.552
1.095 1.089 1.859
3.285 3.279 4.587
1.095 1.101 8.305
3.285 3.291 11.034
```

***

# 20
# Be3N2

Be3N2 after structural relaxation (PBE, the Alexandria database).

Total moment: 0.0 μB/cell
Formation energy (no corrections): -1.036 eV/atom
Space group: R3m (160)
Energy above the lowest structure with this stoichiometry: 0.050 eV/atom

POSCAR file:
```
Be3N2
1.0
-4.278 -0.109 -2.862
-2.121 -0.609 -4.651
-3.149 -2.716 -3.035
Be N
3 2
Cartesian
-1.345 -0.484 -1.485
-6.516 -2.344 -7.198
-8.700 -3.130 -9.611
-7.599 -2.734 -8.394
-2.785 -1.002 -3.077
```